Here is a geometry-optimized Mg2Cd3Pd2 structure from Alexandria via LeMat-Bulk. Energies are from PBE.

The structure belongs to space group C2/m (No. 12); the cell edges are 10.0395, 3.7692 and 6.9190 Å and the angles 90.00°, 97.68° and 90.00°. The distinct sites, in fractional coordinates, are Mg at (0.1288, 0.0000, 0.4377), Cd at (0.0000, 0.0000, 0.0000), Cd at (0.2201, 0.5000, 0.1563) and Pd at (0.0674, 0.5000, 0.7106).

As for the total energy: -2.70 eV per atom. For the size of the total moment, the calculation gives 0.0 μB/f.u. The calculation puts the energy above the most stable polymorph in this dataset at 0 meV per atom.